This record from Alexandria describes crystalline Sm2Y6Ho2Th at its relaxed geometry. The functional is PBE.

## Properties
The value obtained for the calculated total energy is -63.182 eV for the cell shown.

Unit cell a=6.645 b=6.645 c=10.652 alpha=90.02 beta=90.02 gamma=129.21
Fractional coordinates of all 11 atoms:
Sm 0.136 0.864 0.000
Sm 0.864 0.136 0.000
Y 0.001 0.001 0.290
Y 0.347 0.651 0.787
Y 0.349 0.653 0.213
Y 0.651 0.347 0.787
Y 0.653 0.349 0.213
Y 0.999 0.999 0.710
Ho 0.201 0.799 0.500
Ho 0.799 0.201 0.500
Th 0.500 0.500 0.500